The following is a GGA-PBE calculation of an optimized crystal structure of Pr3Nd5In2, from the Alexandria database.

The structure in POSCAR format:
```
Pr3Nd5In2
1.0
-6.649 7.800 3.352
6.649 -7.800 3.352
6.649 7.800 -3.352
Pr Nd In
6 10 4
direct
0.240 0.118 0.357
0.250 0.250 0.000
0.260 0.618 0.878
0.740 0.382 0.122
0.750 0.750 0.000
0.760 0.882 0.643
0.161 0.378 0.539
0.250 0.501 0.251
0.250 0.750 0.500
0.250 0.999 0.749
0.339 0.878 0.217
0.661 0.122 0.783
0.750 0.001 0.251
0.750 0.250 0.500
0.750 0.499 0.749
0.839 0.622 0.461
0.146 0.869 0.015
0.354 0.369 0.723
0.646 0.631 0.277
0.854 0.131 0.985
```

Results
The total energy is -86.5 eV/cell.

The following is a GGA-PBE calculation of an optimized crystal structure of Pr2Nd5In5, from the Alexandria database.

The structure in POSCAR format:
```
Pr2Nd5In5
1.0
5.916 -2.664 0.000
5.916 2.664 0.000
-3.963 0.000 11.656
Pr Nd In
2 5 5
direct
0.070 0.070 0.255
0.930 0.930 0.745
0.346 0.346 0.497
0.370 0.370 0.224
0.500 0.500 0.000
0.630 0.630 0.776
0.654 0.654 0.503
0.000 0.000 0.500
0.176 0.176 0.964
0.260 0.260 0.726
0.740 0.740 0.274
0.824 0.824 0.036
```

Results
The total energy is -50.9 eV/cell.

The following is a GGA-PBE calculation of an optimized crystal structure of PrNd12In6, from the Alexandria database.

The structure in POSCAR format:
```
PrNd12In6
1.0
5.909 3.412 4.933
-5.909 3.412 4.933
0.000 -6.823 4.933
Pr Nd In
1 12 6
direct
0.000 0.000 0.000
0.075 0.125 0.386
0.125 0.386 0.075
0.192 0.472 0.568
0.386 0.075 0.125
0.432 0.808 0.528
0.472 0.568 0.192
0.528 0.432 0.808
0.568 0.192 0.472
0.614 0.925 0.875
0.808 0.528 0.432
0.875 0.614 0.925
0.925 0.875 0.614
0.122 0.741 0.277
0.259 0.723 0.878
0.277 0.122 0.741
0.723 0.878 0.259
0.741 0.277 0.122
0.878 0.259 0.723
```

Results
The total energy is -82.8 eV/cell.

The following is a GGA-PBE calculation of an optimized crystal structure of Pr2Nd2In7, from the Alexandria database.

The structure in POSCAR format:
```
Pr2Nd2In7
1.0
4.403 -5.527 0.000
4.403 5.527 0.000
0.000 0.000 7.517
Pr Nd In
2 2 7
direct
0.181 0.181 0.000
0.819 0.819 0.000
0.300 0.700 0.500
0.700 0.300 0.500
0.000 0.000 0.500
0.000 0.500 0.201
0.000 0.500 0.799
0.500 0.000 0.201
0.500 0.000 0.799
0.500 0.500 0.196
0.500 0.500 0.804
```

Results
The total energy is -38.6 eV/cell.

The following is a GGA-PBE calculation of an optimized crystal structure of PrNdIn, from the Alexandria database.

The structure in POSCAR format:
```
PrNdIn
1.0
-1.787 1.787 15.390
1.787 -1.787 15.390
1.787 1.787 -15.390
Pr Nd In
2 2 2
direct
0.202 0.202 0.000
0.798 0.798 0.000
0.059 0.059 0.000
0.941 0.941 0.000
0.372 0.372 0.000
0.628 0.628 0.000
```

Results
For the excess energy over the best structure of this formula in the dataset, the calculation gives 129 meV/atom.

The following is a GGA-PBE calculation of an optimized crystal structure of PrNdIn4, from the Alexandria database.

The structure in POSCAR format:
```
PrNdIn4
1.0
0.000 4.315 4.315
4.315 0.000 4.315
4.315 4.315 0.000
Pr Nd In
1 1 4
direct
0.000 0.000 0.000
0.750 0.750 0.750
0.375 0.375 0.375
0.375 0.375 0.875
0.375 0.875 0.375
0.875 0.375 0.375
```

Results
For the excess energy over the best structure of this formula in the dataset, the calculation gives 44 meV/atom.

| no. | N(E_F) (states/eV/f.u.) |
| --- | --- |
| 1 | 14.1 |
| 2 | 12.2 |
| 3 | 19.7 |
| 4 | 8.0 |
| 5 | 2.9 |
| 6 | 4.6 |